Record 1
Computed, not measured: crystalline Ho2NbCrN5 at its relaxed geometry at the PBE level of DFT.

Results
- ΔE_f (raw) (eV/atom) = -1.13
- N(E_F) (states/eV/atom) = 0.282
- volume (Å³ per atom) = 11.745

Structure (POSCAR):
```
Ho2NbCrN5
1.0
1.611 -6.566 0.000
1.611 6.566 0.000
0.000 0.000 9.991
Ho Nb Cr N
4 2 2 10
Cartesian
1.611 5.108 4.995
1.611 4.711 1.048
1.611 -4.711 6.043
1.611 -5.108 0.000
1.611 3.719 8.149
1.611 -3.719 3.154
1.611 0.310 2.635
1.611 -0.310 7.631
1.611 6.024 8.451
1.611 2.808 4.589
1.611 2.370 1.773
1.611 1.744 8.041
1.611 0.112 5.906
1.611 -0.112 0.911
1.611 -1.744 3.046
1.611 -2.370 6.768
1.611 -2.808 9.585
1.611 -6.024 3.456
```

Record 2
Computed, not measured: crystalline Nd2HoCrN4 at its relaxed geometry at the PBE level of DFT.

Results
- ΔE_f (raw) (eV/atom) = -1.00
- N(E_F) (states/eV/atom) = 0.361
- volume (Å³ per atom) = 15.286

Structure (POSCAR):
```
Nd2HoCrN4
1.0
1.713 -5.843 0.000
1.713 5.843 0.000
0.000 0.000 12.218
Nd Ho Cr N
4 2 2 8
Cartesian
1.713 4.287 6.622
1.713 4.287 11.705
1.713 -4.287 0.513
1.713 -4.287 5.596
1.713 1.393 9.164
1.713 -1.393 3.055
1.713 1.868 3.055
1.713 -1.868 9.164
1.713 4.926 9.164
1.713 3.207 1.725
1.713 3.207 4.384
1.713 0.000 0.000
1.713 0.000 6.109
1.713 -3.207 7.834
1.713 -3.207 10.493
1.713 -4.926 3.055
```

Record 3
Computed, not measured: crystalline NdHo2CrN4 at its relaxed geometry at the PBE level of DFT.

Results
- ΔE_f (raw) (eV/atom) = -1.26
- N(E_F) (states/eV/atom) = 0.435
- volume (Å³ per atom) = 14.225

Structure (POSCAR):
```
NdHo2CrN4
1.0
1.701 -5.781 0.000
1.701 5.781 0.000
0.000 0.000 11.576
Nd Ho Cr N
2 4 2 8
Cartesian
1.701 4.672 8.682
1.701 -4.672 2.894
1.701 1.511 6.287
1.701 1.511 11.077
1.701 -1.511 0.499
1.701 -1.511 5.289
1.701 3.851 2.894
1.701 -3.851 8.682
0.000 0.000 0.000
0.000 0.000 5.788
1.701 2.724 1.465
1.701 2.724 4.323
1.701 0.906 8.682
1.701 -0.906 2.894
1.701 -2.724 7.253
1.701 -2.724 10.111
```

Record 4
Computed, not measured: crystalline HoCrP2N6 at its relaxed geometry at the PBE level of DFT.

Results
- ΔE_f (raw) (eV/atom) = -0.55
- N(E_F) (states/eV/atom) = 0.212
- volume (Å³ per atom) = 12.365

Structure (POSCAR):
```
HoCrP2N6
1.0
5.003 -4.831 0.000
5.003 4.831 0.000
-2.166 0.000 5.115
Ho Cr P N
2 2 4 12
Cartesian
3.379 3.696 3.836
4.462 -3.696 1.279
4.462 2.691 1.279
3.379 -2.691 3.836
1.257 0.707 4.184
2.340 -0.707 1.627
5.501 0.707 3.489
6.584 -0.707 0.931
-0.283 0.944 3.562
1.944 2.100 4.757
0.800 -0.944 1.005
2.135 0.304 2.879
3.218 -0.304 0.321
4.813 2.100 2.915
3.027 -2.100 2.200
4.623 0.304 4.794
5.706 -0.304 2.237
7.041 0.944 4.111
5.896 -2.100 0.358
8.124 -0.944 1.553
```

Record 5
Computed, not measured: crystalline HoPa2CrN5 at its relaxed geometry at the PBE level of DFT.

Results
- ΔE_f (raw) (eV/atom) = -1.27
- N(E_F) (states/eV/atom) = 0.557
- volume (Å³ per atom) = 12.723

Structure (POSCAR):
```
HoPa2CrN5
1.0
1.672 -6.785 0.000
1.672 6.785 0.000
0.000 0.000 10.095
Ho Pa Cr N
2 4 2 10
Cartesian
1.672 4.042 5.047
1.672 -4.042 0.000
1.672 5.276 1.856
1.672 4.880 8.076
1.672 -4.880 3.029
1.672 -5.276 6.903
1.672 0.207 9.711
1.672 -0.207 4.664
1.672 6.320 5.472
1.672 2.933 1.725
1.672 2.292 8.544
1.672 1.770 5.031
1.672 0.249 2.809
1.672 -0.249 7.857
1.672 -1.770 10.078
1.672 -2.292 3.496
1.672 -2.933 6.773
1.672 -6.320 0.425
```

Record 6
Computed, not measured: crystalline HoPa2CrN4 at its relaxed geometry at the PBE level of DFT.

Results
- ΔE_f (raw) (eV/atom) = -1.28
- N(E_F) (states/eV/atom) = 0.569
- volume (Å³ per atom) = 13.829

Structure (POSCAR):
```
HoPa2CrN4
1.0
1.652 -5.810 0.000
1.652 5.810 0.000
0.000 0.000 11.527
Ho Pa Cr N
2 4 2 8
Cartesian
1.652 4.524 8.645
1.652 -4.524 2.882
1.652 1.550 6.408
1.652 1.550 10.882
1.652 -1.550 0.645
1.652 -1.550 5.119
1.652 4.024 2.882
1.652 -4.024 8.645
0.000 0.000 0.000
0.000 0.000 5.763
1.652 2.603 1.452
1.652 2.603 4.311
1.652 0.533 8.645
1.652 -0.533 2.882
1.652 -2.603 7.216
1.652 -2.603 10.074
```

Record 7
Computed, not measured: crystalline HoPaCrN4 at its relaxed geometry at the PBE level of DFT.

Results
- ΔE_f (raw) (eV/atom) = -1.07
- N(E_F) (states/eV/atom) = 0.603
- volume (Å³ per atom) = 13.501

Structure (POSCAR):
```
HoPaCrN4
1.0
5.700 0.000 0.000
0.000 5.268 0.000
-2.061 0.000 6.296
Ho Pa Cr N
2 2 2 8
Cartesian
0.268 1.317 2.667
3.370 3.951 3.629
-0.402 1.317 5.938
4.040 3.951 0.357
1.101 3.951 1.279
2.538 1.317 5.016
-0.422 3.951 2.297
-1.502 3.951 5.835
2.269 2.637 1.483
2.269 5.264 1.483
1.370 0.003 4.812
1.370 2.631 4.812
5.141 1.317 0.460
4.061 1.317 3.998
```

Record 8
Computed, not measured: crystalline PmHoCrN3 at its relaxed geometry at the PBE level of DFT.

Results
- ΔE_f (raw) (eV/atom) = -1.12
- N(E_F) (states/eV/atom) = 0.429
- volume (Å³ per atom) = 15.190

Structure (POSCAR):
```
PmHoCrN3
1.0
7.341 0.000 0.000
0.000 3.413 0.000
-1.113 0.000 7.275
Pm Ho Cr N
2 2 2 6
Cartesian
1.099 0.853 1.304
5.128 2.560 5.971
1.763 2.560 6.050
4.464 0.853 1.225
-0.063 0.853 4.351
6.291 2.560 2.924
-0.061 0.853 6.162
0.623 2.560 3.786
2.807 2.560 1.071
3.421 0.853 6.204
5.605 0.853 3.489
6.289 2.560 1.113
```

Record 9
Computed, not measured: crystalline PmHoCrN4 at its relaxed geometry at the PBE level of DFT.

Results
- ΔE_f (raw) (eV/atom) = -1.11
- volume (Å³ per atom) = 13.975

Structure (POSCAR):
```
PmHoCrN4
1.0
5.552 0.000 0.000
0.000 5.488 0.000
-2.098 0.000 6.421
Pm Ho Cr N
2 2 2 8
Cartesian
0.341 1.372 2.790
3.112 4.116 3.631
-0.367 1.372 6.177
3.820 4.116 0.244
1.018 4.116 1.231
2.435 1.372 5.190
-0.418 4.116 2.224
-1.515 4.116 6.002
2.079 2.770 1.585
2.079 5.462 1.585
1.374 0.026 4.836
1.374 2.718 4.836
4.968 1.372 0.419
3.871 1.372 4.197
```

Record 10
Computed, not measured: crystalline PrHoCrN4 at its relaxed geometry at the PBE level of DFT.

Results
- ΔE_f (raw) (eV/atom) = -1.10
- volume (Å³ per atom) = 14.296

Structure (POSCAR):
```
PrHoCrN4
1.0
5.578 0.000 0.000
0.000 5.516 0.000
-2.124 0.000 6.504
Pr Ho Cr N
2 2 2 8
Cartesian
0.326 1.379 2.819
3.128 4.137 3.685
-0.391 1.379 6.254
3.846 4.137 0.250
1.033 4.137 1.229
2.421 1.379 5.276
-0.402 4.137 2.229
-1.540 4.137 6.089
2.092 2.787 1.575
2.092 5.487 1.575
1.363 0.029 4.929
1.363 2.729 4.929
4.994 1.379 0.415
3.857 1.379 4.275
```

Record 11
Computed, not measured: crystalline Ho2PuCrN4 at its relaxed geometry at the PBE level of DFT.

Results
- ΔE_f (raw) (eV/atom) = -1.18
- N(E_F) (states/eV/atom) = 0.961
- volume (Å³ per atom) = 13.943

Structure (POSCAR):
```
Ho2PuCrN4
1.0
1.676 -5.724 0.000
1.676 5.724 0.000
0.000 0.000 11.628
Ho Pu Cr N
4 2 2 8
Cartesian
1.676 4.232 6.314
1.676 4.232 11.128
1.676 -4.232 0.500
1.676 -4.232 5.314
1.676 1.185 8.721
1.676 -1.185 2.907
1.676 1.872 2.907
1.676 -1.872 8.721
1.676 4.884 8.721
1.676 3.063 1.506
1.676 3.063 4.308
1.676 0.000 0.000
1.676 0.000 5.814
1.676 -3.063 7.319
1.676 -3.063 10.122
1.676 -4.884 2.907
```

Record 12
Computed, not measured: crystalline HoPu2CrN4 at its relaxed geometry at the PBE level of DFT.

Results
- ΔE_f (raw) (eV/atom) = -1.06
- N(E_F) (states/eV/atom) = 1.175
- volume (Å³ per atom) = 13.496

Structure (POSCAR):
```
HoPu2CrN4
1.0
1.652 -5.689 0.000
1.652 5.689 0.000
0.000 0.000 11.485
Ho Pu Cr N
2 4 2 8
Cartesian
1.652 4.407 8.614
1.652 -4.407 2.871
1.652 1.513 6.311
1.652 1.513 10.917
1.652 -1.513 0.568
1.652 -1.513 5.174
1.652 3.967 2.871
1.652 -3.967 8.614
0.000 0.000 0.000
0.000 0.000 5.743
1.652 2.617 1.476
1.652 2.617 4.267
1.652 0.564 8.614
1.652 -0.564 2.871
1.652 -2.617 7.218
1.652 -2.617 10.009
```